The following is a DFT calculation (PBE) of an optimized crystal structure of KZn2Re.

Cell: 2.7195 2.7195 9.9012 Å, 90.00 90.00 90.00°
Closest atoms and distances in Å follow each position.
Space group P4mm (No. 99)
Asymmetric unit:
1 K 0.0000 0.0000 0.0000 [1 per cell]  4 K 2.72
2 Zn 0.0000 0.0000 0.4943 [1 per cell]  8 Zn 2.72-2.85, 4 Re 2.78
3 Zn 0.5000 0.5000 0.7062 [1 per cell]  8 Zn 2.72-2.85
4 Re 0.5000 0.5000 0.2920 [1 per cell]  4 Re 2.72, 4 Zn 2.78

Size of the total moment ... 0.00 Bohr magnetons per cell
E above lowest polymorph ... 3.712 kcal/mol of atoms

The following is a DFT calculation (PBE) of an optimized crystal structure of LaAl2O.

Cell: 6.1721 6.1721 8.8157 Å, 90.00 90.00 90.00°
Closest atoms and distances in Å follow each position.
Space group I-42d (No. 122)
Asymmetric unit:
1 La 0.0000 0.0000 0.0000 [4 per cell]  8 Al 3.30-3.67
2 Al 0.0616 0.2500 0.6250 [8 per cell]  2 O 1.93
3 O 0.0000 0.0000 0.5000 [4 per cell]  4 Al 1.93

Size of the total moment ... 0.00 Bohr magnetons per cell
ΔE_f (raw) ... -0.745 eV per atom

Q: Which value of size of the total moment does entry 1 give?
A: 0.00 Bohr magnetons per cell

Q: Which value of size of the total moment does entry 1 give?
A: 0.00 Bohr magnetons per cell